(1)
A geometry-optimized Er2PtS structure. Source: Alexandria via LeMat-Bulk, functional PBE-GGA.

* total magnetic moment: 0.000 μB/cell
* E above lowest polymorph: 881 meV/atom
* formation energy without anion corrections: -0.742 eV/atom

```
data_Er2PtS
_chemical_formula_sum 'Er6 Pt3 S3'
_symmetry_space_group_name_H-M 'R -3 m'
_symmetry_Int_Tables_number 166
_symmetry_space_group_name_Hall '-R 3 2"'
_cell_length_a 3.5379
_cell_length_b 3.5379
_cell_length_c 26.0625
_cell_angle_alpha 90.00
_cell_angle_beta 90.00
_cell_angle_gamma 120.00
loop_
_atom_site_label
_atom_site_fract_x
_atom_site_fract_y
_atom_site_fract_z
Er1 0.0000 0.0000 0.1005
Pt1 0.0000 0.0000 0.0000
S1 0.0000 0.0000 0.5000
```

***

(2)
A geometry-optimized Zn2Ni2H structure. Source: Alexandria via LeMat-Bulk, functional PBE-GGA.

* total magnetic moment: 0.000 μB/cell

```
data_Zn2Ni2H
_chemical_formula_sum 'Zn4 Ni4 H2'
_symmetry_space_group_name_H-M 'P 4/m b m'
_symmetry_Int_Tables_number 127
_symmetry_space_group_name_Hall '-P 4 2ab'
_cell_length_a 5.084
_cell_length_b 5.084
_cell_length_c 4.197
_cell_angle_alpha 90.00
_cell_angle_beta 90.00
_cell_angle_gamma 90.00
loop_
_atom_site_label
_atom_site_fract_x
_atom_site_fract_y
_atom_site_fract_z
Zn1 0.165 0.335 0.000
Ni1 0.172 0.672 0.500
H1 0.000 0.000 0.500
```

***

(3)
A geometry-optimized Tc2NiOs structure. Source: Alexandria via LeMat-Bulk, functional PBE-GGA.

* DFT formation energy: 0.037 eV/atom
* total magnetic moment: 0.000 μB/cell
* E above lowest polymorph: 88 meV/atom

```
data_Tc2NiOs
_chemical_formula_sum 'Tc2 Ni1 Os1'
_symmetry_space_group_name_H-M 'P m m m'
_symmetry_Int_Tables_number 47
_cell_length_a 2.694
_cell_length_b 3.827
_cell_length_c 5.302
_cell_angle_alpha 90.00
_cell_angle_beta 90.00
_cell_angle_gamma 90.00
loop_
_symmetry_equiv_pos_as_xyz
'x,y,z'
'-x,-y,-z'
'-x,-y,z'
'x,y,-z'
'x,-y,-z'
'-x,y,z'
'-x,y,-z'
'x,-y,z'
loop_
_atom_site_label
_atom_site_fract_x
_atom_site_fract_y
_atom_site_fract_z
Tc1 0.000 0.000 0.241
Ni1 0.500 0.500 0.000
Os1 0.500 0.500 0.500
```

***

(4)
A geometry-optimized KAc2Hg4 structure. Source: Alexandria via LeMat-Bulk, functional PBE-GGA.

* DFT formation energy: -0.261 eV/atom
* total magnetic moment: 0.000 μB/cell

```
data_KAc2Hg4
_chemical_formula_sum 'K3 Ac6 Hg12'
_symmetry_space_group_name_H-M 'R -3 m'
_symmetry_Int_Tables_number 166
_symmetry_space_group_name_Hall '-R 3 2"'
_cell_length_a 5.5595
_cell_length_b 5.5595
_cell_length_c 31.5893
_cell_angle_alpha 90.00
_cell_angle_beta 90.00
_cell_angle_gamma 120.00
loop_
_atom_site_label
_atom_site_fract_x
_atom_site_fract_y
_atom_site_fract_z
K1 0.0000 0.0000 0.0000
Ac1 0.0000 0.0000 0.2136
Hg1 0.0000 0.0000 0.1074
Hg2 0.0000 0.0000 0.4219
```

***

no.,DFT total energy (eV/cell)
1,-66.8
2,-35.1
3,-37.6
4,-37.1